# 1
{
  "formula": "K3EuF6",
  "functional": "PBE",
  "state": "optimized geometry",
  "lattice": [[-3.5597, 3.5597, 4.6808], [3.5597, -3.5597, 4.6808], [3.5597, 3.5597, -4.6808]],
  "species": ["K", "K", "K", "Eu", "F", "F", "F", "F", "F", "F"],
  "frac_coords": [[0.0000, 0.0000, 0.0000], [0.2500, 0.7500, 0.5000], [0.7500, 0.2500, 0.5000], [0.5000, 0.5000, 0.0000], [0.1874, 0.5000, 0.6874], [0.2570, 0.2570, 0.0000], [0.5000, 0.1874, 0.6874], [0.5000, 0.8126, 0.3126], [0.7430, 0.7430, 0.0000], [0.8126, 0.5000, 0.3126]],
  "energy_ev_per_atom": -5.459,
  "formation_energy_uncorrected_ev_per_atom": -2.980,
  "sg": "I4/mmm"
}

---

# 2
{
  "formula": "CsS6Br",
  "functional": "PBE",
  "state": "optimized geometry",
  "lattice": [[4.4935, 0.0000, 0.0000], [1.8976, 6.5873, 0.0000], [1.5304, 1.2514, 8.1988]],
  "species": ["Cs", "S", "S", "S", "S", "S", "S", "Br"],
  "frac_coords": [[0.0000, 0.0000, 0.0000], [0.0625, 0.6796, 0.6745], [0.2755, 0.4420, 0.1574], [0.4763, 0.4489, 0.7096], [0.5237, 0.5511, 0.2904], [0.7245, 0.5580, 0.8426], [0.9375, 0.3204, 0.3255], [0.5000, 0.0000, 0.5000]],
  "energy_ev_per_atom": -3.694,
  "formation_energy_uncorrected_ev_per_atom": -0.283,
  "sg": "P-1"
}

---

# 3
{
  "formula": "NaAsAu3",
  "functional": "PBE",
  "state": "optimized geometry",
  "lattice": [[5.0185, 0.0000, 0.0000], [0.0000, 5.0185, 0.0000], [0.0000, 0.0000, 5.0185]],
  "species": ["Na", "As", "Au", "Au", "Au"],
  "frac_coords": [[0.0000, 0.0000, 0.0000], [0.5000, 0.5000, 0.5000], [0.0000, 0.5000, 0.5000], [0.5000, 0.0000, 0.5000], [0.5000, 0.5000, 0.0000]],
  "energy_ev_per_atom": -3.158,
  "polymorph_energy_kj_per_mol_atoms": 0.00,
  "sg": "Pm-3m"
}

---

# 4
{
  "formula": "AlCu2Ru",
  "functional": "PBE",
  "state": "optimized geometry",
  "lattice": [[3.6265, 0.0000, 0.0000], [0.0000, 3.6265, 0.0000], [0.0000, 0.0000, 7.9584]],
  "species": ["Al", "Al", "Cu", "Cu", "Cu", "Cu", "Ru", "Ru"],
  "frac_coords": [[0.0000, 0.0000, 0.0000], [0.5000, 0.5000, 0.5000], [0.0000, 0.5000, 0.2500], [0.0000, 0.5000, 0.7500], [0.5000, 0.0000, 0.2500], [0.5000, 0.0000, 0.7500], [0.0000, 0.0000, 0.5000], [0.5000, 0.5000, 0.0000]],
  "energy_ev_per_atom": -5.395,
  "sg": "I4/mmm"
}

---

# 5
{
  "formula": "LiTm2RhO5",
  "functional": "PBE",
  "state": "optimized geometry",
  "lattice": [[6.4045, 0.0000, 0.0000], [0.0000, 6.4045, 0.0000], [0.0000, 0.0000, 5.7129]],
  "species": ["Li", "Li", "Tm", "Tm", "Tm", "Tm", "Rh", "Rh", "O", "O", "O", "O", "O", "O", "O", "O", "O", "O"],
  "frac_coords": [[0.0000, 0.0000, 0.0000], [0.5000, 0.5000, 0.0000], [0.1755, 0.3245, 0.5000], [0.3245, 0.8245, 0.5000], [0.6755, 0.1755, 0.5000], [0.8245, 0.6755, 0.5000], [0.0000, 0.5000, 0.0000], [0.5000, 0.0000, 0.0000], [0.0000, 0.0000, 0.5000], [0.1403, 0.6403, 0.2580], [0.1403, 0.6403, 0.7420], [0.3597, 0.1403, 0.2580], [0.3597, 0.1403, 0.7420], [0.5000, 0.5000, 0.5000], [0.6403, 0.8597, 0.2580], [0.6403, 0.8597, 0.7420], [0.8597, 0.3597, 0.2580], [0.8597, 0.3597, 0.7420]],
  "energy_ev_per_atom": -7.063,
  "formation_energy_uncorrected_ev_per_atom": -2.286,
  "sg": "P4/mbm"
}

---

# 6
{
  "formula": "K3Sc3SbS8",
  "functional": "PBE",
  "state": "optimized geometry",
  "lattice": [[3.8166, 2.2035, 7.4433], [-3.8166, 2.2035, 7.4433], [0.0000, -4.4070, 7.4433]],
  "species": ["K", "K", "K", "Sc", "Sc", "Sc", "Sb", "S", "S", "S", "S", "S", "S", "S", "S"],
  "frac_coords": [[0.0000, 0.5000, 0.5000], [0.5000, 0.0000, 0.5000], [0.5000, 0.5000, 0.0000], [0.0000, 0.0000, 0.5000], [0.0000, 0.5000, 0.0000], [0.5000, 0.0000, 0.0000], [0.5000, 0.5000, 0.5000], [0.2266, 0.7323, 0.7323], [0.2302, 0.2302, 0.2302], [0.2677, 0.2677, 0.7734], [0.2677, 0.7734, 0.2677], [0.7323, 0.2266, 0.7323], [0.7323, 0.7323, 0.2266], [0.7698, 0.7698, 0.7698], [0.7734, 0.2677, 0.2677]],
  "energy_ev_per_atom": -5.417,
  "formation_energy_uncorrected_ev_per_atom": -1.455,
  "sg": "R-3m"
}

---

# 7
{
  "formula": "AcCeNd4Se8",
  "functional": "PBE",
  "state": "optimized geometry",
  "lattice": [[4.3920, 2.5357, 7.1865], [-4.3920, 2.5357, 7.1865], [0.0000, -5.0715, 7.1865]],
  "species": ["Ac", "Ce", "Nd", "Nd", "Nd", "Nd", "Se", "Se", "Se", "Se", "Se", "Se", "Se", "Se"],
  "frac_coords": [[0.0000, 0.0000, 0.0000], [0.6227, 0.6227, 0.6227], [0.1310, 0.6226, 0.6226], [0.2494, 0.2494, 0.2494], [0.6226, 0.1310, 0.6226], [0.6226, 0.6226, 0.1310], [0.3811, 0.3811, 0.3811], [0.3807, 0.3807, 0.8547], [0.3807, 0.8547, 0.3807], [0.4114, 0.8626, 0.8626], [0.8547, 0.3807, 0.3807], [0.8626, 0.4114, 0.8626], [0.8626, 0.8626, 0.4114], [0.8628, 0.8628, 0.8628]],
  "energy_ev_per_atom": -5.799,
  "formation_energy_uncorrected_ev_per_atom": -1.729,
  "sg": "R3m"
}

---

# 8
{
  "formula": "K3ScTl",
  "functional": "PBE",
  "state": "optimized geometry",
  "lattice": [[6.8688, 0.0000, 0.0000], [0.0000, 6.8688, 0.0000], [0.0000, 0.0000, 6.8688]],
  "species": ["K", "K", "K", "Sc", "Tl"],
  "frac_coords": [[0.0000, 0.0000, 0.5000], [0.0000, 0.5000, 0.0000], [0.5000, 0.0000, 0.0000], [0.0000, 0.0000, 0.0000], [0.5000, 0.5000, 0.5000]],
  "energy_ev_per_atom": -1.548,
  "polymorph_energy_kj_per_mol_atoms": 15.96,
  "sg": "Pm-3m"
}

---

# 9
{
  "formula": "Dy2InSe",
  "functional": "PBE",
  "state": "optimized geometry",
  "lattice": [[4.3174, 0.0000, 0.0000], [0.0000, 22.9785, 0.0000], [0.0000, 0.0000, 4.2053]],
  "species": ["Dy", "Dy", "Dy", "Dy", "Dy", "Dy", "Dy", "Dy", "In", "In", "In", "In", "Se", "Se", "Se", "Se"],
  "frac_coords": [[0.0000, 0.0699, 0.2500], [0.0000, 0.3171, 0.2500], [0.0000, 0.6829, 0.7500], [0.0000, 0.9301, 0.7500], [0.5000, 0.1829, 0.7500], [0.5000, 0.4301, 0.7500], [0.5000, 0.5699, 0.2500], [0.5000, 0.8171, 0.2500], [0.0000, 0.4551, 0.2500], [0.0000, 0.5449, 0.7500], [0.5000, 0.0449, 0.7500], [0.5000, 0.9551, 0.2500], [0.0000, 0.1931, 0.2500], [0.0000, 0.8069, 0.7500], [0.5000, 0.3069, 0.7500], [0.5000, 0.6931, 0.2500]],
  "energy_ev_per_atom": -4.961,
  "formation_energy_uncorrected_ev_per_atom": -1.105,
  "polymorph_energy_kj_per_mol_atoms": 0.00,
  "sg": "Cmcm"
}

---

# 10
{
  "formula": "KHS3",
  "functional": "PBE",
  "state": "optimized geometry",
  "lattice": [[7.5151, -2.3408, 0.0000], [7.5151, 2.3408, 0.0000], [-1.1549, 0.0000, 6.4480]],
  "species": ["K", "K", "H", "H", "S", "S", "S", "S", "S", "S"],
  "frac_coords": [[0.1215, 0.1215, 0.1474], [0.8785, 0.8785, 0.8526], [0.4922, 0.4922, 0.6687], [0.5078, 0.5078, 0.3313], [0.2071, 0.2071, 0.6405], [0.3213, 0.3213, 0.4337], [0.4307, 0.4307, 0.1877], [0.5693, 0.5693, 0.8123], [0.6787, 0.6787, 0.5663], [0.7929, 0.7929, 0.3595]],
  "energy_ev_per_atom": -3.681,
  "polymorph_energy_kj_per_mol_atoms": 12.61,
  "sg": "C2/m"
}

---

# 11
{
  "formula": "BeVCuRe2",
  "functional": "PBE",
  "state": "optimized geometry",
  "lattice": [[4.1189, 0.0000, 0.0000], [0.0000, 4.1189, 0.0000], [0.0000, 0.0000, 4.0360]],
  "species": ["Be", "V", "Cu", "Re", "Re"],
  "frac_coords": [[0.0000, 0.0000, 0.0000], [0.0000, 0.0000, 0.5000], [0.5000, 0.5000, 0.5000], [0.0000, 0.5000, 0.0000], [0.5000, 0.0000, 0.0000]],
  "energy_ev_per_atom": -7.566,
  "sg": "P4/mmm"
}

---

# 12
{
  "formula": "KSrCo2",
  "functional": "PBE",
  "state": "optimized geometry",
  "lattice": [[7.1228, 0.0000, 0.0000], [0.0000, 7.1228, 0.0000], [0.0000, 0.0000, 7.1228]],
  "species": ["K", "K", "K", "K", "Sr", "Sr", "Sr", "Sr", "Co", "Co", "Co", "Co", "Co", "Co", "Co", "Co"],
  "frac_coords": [[0.0000, 0.0000, 0.0000], [0.0000, 0.5000, 0.5000], [0.5000, 0.0000, 0.5000], [0.5000, 0.5000, 0.0000], [0.2500, 0.2500, 0.2500], [0.2500, 0.7500, 0.7500], [0.7500, 0.2500, 0.7500], [0.7500, 0.7500, 0.2500], [0.0000, 0.0000, 0.5000], [0.0000, 0.5000, 0.0000], [0.2500, 0.2500, 0.7500], [0.2500, 0.7500, 0.2500], [0.5000, 0.0000, 0.0000], [0.5000, 0.5000, 0.5000], [0.7500, 0.2500, 0.2500], [0.7500, 0.7500, 0.7500]],
  "energy_ev_per_atom": -3.225,
  "polymorph_energy_kj_per_mol_atoms": 62.86,
  "sg": "F-43m"
}